1.
# FeCo2Se4

FeCo2Se4 after structural relaxation (PBE, Alexandria via LeMat-Bulk).

Properties
Its energy relative to the elements, uncorrected is -1.9 eV per formula unit. The value obtained for the total moment is 2.42 μB per formula unit. The calculated density comes out at 6.982 g/cm³.

a = 12.213 Å, b = 3.548 Å, c = 6.206 Å
α = 90.00°, β = 120.00°, γ = 90.00°
Space group C2/m (No. 12)
Symmetry-distinct sites (fractional):
Fe1 0.000 0.000 0.000 [2 per cell]
Co1 0.240 0.500 0.722 [4 per cell]
Se1 0.127 0.000 0.456 [4 per cell]
Se2 0.137 0.500 0.972 [4 per cell]

2.
# LaCeFe4

LaCeFe4 after structural relaxation (PBE, Alexandria via LeMat-Bulk).

Properties
The value obtained for the total moment is 6.36 μB per formula unit. The value obtained for the formation energy is 21.6 meV/atom. The calculated density comes out at 8.422 g/cm³.

a = 7.345 Å, b = 7.345 Å, c = 7.345 Å
α = 90.00°, β = 90.00°, γ = 90.00°
Space group F-43m (No. 216)
Symmetry-distinct sites (fractional):
La1 0.000 0.000 0.000 [4 per cell]
Ce1 0.250 0.250 0.750 [4 per cell]
Fe1 0.124 0.124 0.376 [16 per cell]

3.
# In2HgSb

In2HgSb after structural relaxation (PBE, Alexandria via LeMat-Bulk).

Properties
Its energy relative to the elements, uncorrected is 0.3 eV per formula unit. The value obtained for the total moment is 0.00 μB per formula unit. The calculated density comes out at 8.382 g/cm³.

a = 4.176 Å, b = 5.091 Å, c = 10.286 Å
α = 90.00°, β = 90.00°, γ = 90.00°
Space group Cmm2 (No. 35)
Symmetry-distinct sites (fractional):
In1 0.000 0.000 0.000 [2 per cell]
In2 0.000 0.500 0.259 [2 per cell]
Hg1 0.000 0.000 0.502 [2 per cell]
Sb1 0.000 0.500 0.757 [2 per cell]

4.
# K2CdRuO6

K2CdRuO6 after structural relaxation (PBE, Alexandria via LeMat-Bulk).

Properties
Its energy relative to the elements, uncorrected is -8.6 eV per formula unit. The value obtained for the total moment is 0.52 μB per formula unit. The calculated density comes out at 3.465 g/cm³.

a = 6.0889 Å, b = 6.0889 Å, c = 5.7867 Å
α = 90.00°, β = 90.00°, γ = 120.00°
Space group P-3m1 (No. 164)
Symmetry-distinct sites (fractional):
K1 0.3333 0.6667 0.3538 [2 per cell]
Cd1 0.0000 0.0000 0.0000 [1 per cell]
Ru1 0.0000 0.0000 0.5000 [1 per cell]
O1 0.1449 0.2899 0.6950 [6 per cell]

5.
# SrPr2F

SrPr2F after structural relaxation (PBE, Alexandria via LeMat-Bulk).

Properties
Its energy relative to the elements, uncorrected is -3.9 eV per formula unit. The value obtained for the total moment is 0.00 μB per formula unit. The calculated density comes out at 4.961 g/cm³.

a = 3.9118 Å, b = 3.9118 Å, c = 29.4317 Å
α = 90.00°, β = 90.00°, γ = 120.00°
Space group R-3m (No. 166, hexagonal axes)
Symmetry-distinct sites (fractional):
Sr1 0.0000 0.0000 0.0000 [3 per cell]
Pr1 0.0000 0.0000 0.1202 [6 per cell]
F1 0.0000 0.0000 0.5000 [3 per cell]

6.
# HfTa2Te6

HfTa2Te6 after structural relaxation (PBE, Alexandria via LeMat-Bulk).

Properties
Its energy relative to the elements, uncorrected is -4.2 eV per formula unit. The value obtained for the total moment is 0.00 μB per formula unit. The calculated density comes out at 8.395 g/cm³.

a = 15.302 Å, b = 3.712 Å, c = 9.739 Å
α = 90.00°, β = 110.93°, γ = 90.00°
Space group C2/m (No. 12)
Symmetry-distinct sites (fractional):
Hf1 0.000 0.000 0.000 [2 per cell]
Ta1 0.144 0.500 0.298 [4 per cell]
Te1 0.012 0.000 0.308 [4 per cell]
Te2 0.150 0.500 0.022 [4 per cell]
Te3 0.204 0.500 0.618 [4 per cell]

7.
# K2CaIn3Br6

K2CaIn3Br6 after structural relaxation (PBE, Alexandria via LeMat-Bulk).

Properties
Its energy relative to the elements, uncorrected is -14.3 eV per formula unit. The value obtained for the total moment is 0.00 μB per formula unit. The calculated density comes out at 3.482 g/cm³.

a = 7.785 Å, b = 13.485 Å, c = 9.043 Å
α = 90.00°, β = 108.81°, γ = 90.00°
Space group C2/m (No. 12)
Symmetry-distinct sites (fractional):
K1 0.000 0.160 0.000 [4 per cell]
Ca1 0.000 0.500 0.000 [2 per cell]
In1 0.000 0.200 0.500 [4 per cell]
In2 0.000 0.500 0.500 [2 per cell]
Br1 0.079 0.349 0.801 [8 per cell]
Br2 0.126 0.000 0.780 [4 per cell]

8.
# Pr3Ga2Ge3

Pr3Ga2Ge3 after structural relaxation (PBE, Alexandria via LeMat-Bulk).

Properties
The value obtained for the total moment is 0.00 μB per formula unit. The value obtained for the formation energy is -677.0 meV/atom. The calculated density comes out at 6.780 g/cm³.

a = 4.289 Å, b = 11.357 Å, c = 15.690 Å
α = 90.00°, β = 90.00°, γ = 90.00°
Space group Cmcm (No. 63)
Symmetry-distinct sites (fractional):
Pr1 0.000 0.066 0.250 [4 per cell]
Pr2 0.000 0.359 0.097 [8 per cell]
Ga1 0.000 0.362 0.626 [8 per cell]
Ge1 0.000 0.090 0.047 [8 per cell]
Ge2 0.000 0.205 0.750 [4 per cell]

9.
# Ti2NiPd

Ti2NiPd after structural relaxation (PBE, Alexandria via LeMat-Bulk).

Properties
The value obtained for the total moment is 0.00 μB per formula unit. The value obtained for the formation energy is -86.5 meV/atom. The calculated density comes out at 6.979 g/cm³.

a = 6.873 Å, b = 6.873 Å, c = 5.256 Å
α = 90.00°, β = 90.00°, γ = 90.00°
Space group I-42d (No. 122)
Symmetry-distinct sites (fractional):
Ti1 0.234 0.250 0.125 [8 per cell]
Ni1 0.000 0.000 0.000 [4 per cell]
Pd1 0.000 0.000 0.500 [4 per cell]

10.
# K2NiW

K2NiW after structural relaxation (PBE, Alexandria via LeMat-Bulk).

Properties
The value obtained for the total moment is 0.00 μB per formula unit. The value obtained for the formation energy is 1569.0 meV/atom. The calculated density comes out at 6.296 g/cm³.

a = 3.809 Å, b = 3.809 Å, c = 11.660 Å
α = 90.00°, β = 90.00°, γ = 90.00°
Space group I4/mmm (No. 139)
Symmetry-distinct sites (fractional):
K1 0.000 0.500 0.250 [4 per cell]
Ni1 0.000 0.000 0.000 [2 per cell]
W1 0.000 0.000 0.500 [2 per cell]

11.
# CaGaBi2

CaGaBi2 after structural relaxation (PBE, Alexandria via LeMat-Bulk).

Properties
The value obtained for the total moment is 0.00 μB per formula unit. The value obtained for the formation energy is -175.0 meV/atom. The calculated density comes out at 6.551 g/cm³.

a = 5.0963 Å, b = 5.0963 Å, c = 17.8430 Å
α = 90.00°, β = 90.00°, γ = 120.00°
Space group R3m (No. 160, hexagonal axes)
Symmetry-distinct sites (fractional):
Ca1 0.0000 0.0000 0.0000 [3 per cell]
Ga1 0.0000 0.0000 0.8202 [3 per cell]
Bi1 0.0000 0.0000 0.4085 [3 per cell]
Bi2 0.0000 0.0000 0.5779 [3 per cell]

12.
# CaTc5

CaTc5 after structural relaxation (PBE, Alexandria via LeMat-Bulk).

Properties
The value obtained for the total moment is 0.00 μB per formula unit. The value obtained for the formation energy is 335.2 meV/atom. The calculated density comes out at 9.000 g/cm³.

a = 2.794 Å, b = 2.794 Å, c = 12.525 Å
α = 90.00°, β = 90.00°, γ = 90.00°
Space group P4/mmm (No. 123)
Symmetry-distinct sites (fractional):
Ca1 0.000 0.000 0.000 [1 per cell]
Tc1 0.000 0.000 0.350 [2 per cell]
Tc2 0.500 0.500 0.202 [2 per cell]
Tc3 0.500 0.500 0.500 [1 per cell]